Record 1
DFT (PBE) results for a relaxed structure of CaPmSmTl.

a = 5.6313 Å, b = 5.6313 Å, c = 5.6313 Å
α = 60.00°, β = 60.00°, γ = 60.00°
Site moments in Bohr magnetons follow the coordinates.
Fractional coordinates of all 4 atoms:
Tl  0.0000  0.0000  0.0000  0.00
Ca  0.7500  0.7500  0.7500  0.05
Sm  0.2500  0.2500  0.2500  0.18
Pm  0.5000  0.5000  0.5000  0.28

Values from the calculation:
Formation enthalpy at 0 K, kJ per mole of atoms: 1.7
Total magnetization, μB/f.u.: 0.95
Space group: F-43m, No. 216

Record 2
DFT (PBE) results for a relaxed structure of GaH2O.

a = 2.5221 Å, b = 2.5221 Å, c = 8.4281 Å
α = 81.39°, β = 81.39°, γ = 60.00°
Fractional coordinates of all 4 atoms:
H  0.1552  0.1552  0.5343
H  0.8448  0.8448  0.4657
O  0.5000  0.5000  0.5000
Ga  0.0000  0.0000  0.0000

Values from the calculation:
Final energy, eV/cell: -14.1
Total magnetization, μB/f.u.: 0.00
Space group: R-3m, No. 166